1.
Below is a relaxed SrGa2TcC crystal, with properties calculated at the GGA-PBE level.

Calculated values
E in eV/atom: -4.148
Energy of formation in eV/f.u.: 6.58
N(E_F) in states/eV/f.u.: 3.10
Magnetization in μB/atom: 0.57

abc: 4.762 4.762 5.806
angles: 90.00 90.00 90.00
Atoms (fractional coordinates):
Sr1 0.000 0.000 0.000
Ga1 0.000 0.500 0.500
Ga2 0.500 0.000 0.500
Tc1 0.000 0.000 0.500
C1 0.500 0.500 0.000



2.
Below is a relaxed Ta12Ga5C2 crystal, with properties calculated at the GGA-PBE level.

Calculated values
E in eV/atom: -9.114
Energy of formation in eV/f.u.: 2.64
N(E_F) in states/eV/f.u.: 11.11
Magnetization in μB/atom: 0.00

abc: 7.930 7.930 7.742
angles: 107.77 107.77 47.73
Atoms (fractional coordinates):
Ta1 0.000 0.000 0.177
Ta2 0.000 0.000 0.823
Ta3 0.068 0.616 0.901
Ta4 0.155 0.585 0.449
Ta5 0.384 0.932 0.099
Ta6 0.415 0.845 0.551
Ta7 0.488 0.488 0.791
Ta8 0.512 0.512 0.209
Ta9 0.585 0.155 0.449
Ta10 0.616 0.068 0.901
Ta11 0.845 0.415 0.551
Ta12 0.932 0.384 0.099
Ga1 0.000 0.000 0.500
Ga2 0.275 0.275 0.630
Ga3 0.317 0.317 0.137
Ga4 0.683 0.683 0.863
Ga5 0.725 0.725 0.370
C1 0.266 0.734 0.000
C2 0.734 0.266 0.000



3.
Below is a relaxed Ta4GaC crystal, with properties calculated at the GGA-PBE level.

Calculated values
E in eV/atom: -9.959
Energy of formation in eV/f.u.: -0.09
N(E_F) in states/eV/f.u.: 3.70
Magnetization in μB/atom: 0.00

abc: 5.725 5.720 6.019
angles: 90.00 96.72 90.00
Atoms (fractional coordinates):
Ta1 0.101 0.164 0.185
Ta2 0.101 0.336 0.685
Ta3 0.336 0.620 0.109
Ta4 0.336 0.880 0.609
Ta5 0.664 0.120 0.391
Ta6 0.664 0.380 0.891
Ta7 0.899 0.664 0.315
Ta8 0.899 0.836 0.815
Ga1 0.500 0.000 0.000
Ga2 0.500 0.500 0.500
C1 0.000 0.000 0.500
C2 0.000 0.500 0.000



Look up the E of the second one.
-9.114 eV/atom



Copy entry 1 word for word.
Below is a relaxed SrGa2TcC crystal, with properties calculated at the GGA-PBE level.

Calculated values
E in eV/atom: -4.148
Energy of formation in eV/f.u.: 6.58
N(E_F) in states/eV/f.u.: 3.10
Magnetization in μB/atom: 0.57

abc: 4.762 4.762 5.806
angles: 90.00 90.00 90.00
Atoms (fractional coordinates):
Sr1 0.000 0.000 0.000
Ga1 0.000 0.500 0.500
Ga2 0.500 0.000 0.500
Tc1 0.000 0.000 0.500
C1 0.500 0.500 0.000